[1]
! CeTm2Ag (PBE, optimized geometry); values from VASP
! DFT formation energy: -99.6 meV per atom
! calculated total energy: -4.532 eV per atom
! energy relative to the lowest polymorph listed for this composition: 0 meV/atom
&SYSTEM
  ibrav = 0, nat = 4, ntyp = 3
/
ATOMIC_SPECIES
Tm 168.93 Tm.upf
Ce 140.12 Ce.upf
Ag 107.87 Ag.upf
ATOMIC_POSITIONS crystal
Tm 0.0000 0.0000 0.7855
Tm 0.0000 0.0000 0.2145
Ce 0.5000 0.5000 0.5000
Ag 0.5000 0.5000 0.0000
CELL_PARAMETERS angstrom
3.5650 0.0000 0.0000
0.0000 3.5650 0.0000
0.0000 0.0000 8.3298



[2]
! CeTm2Ag (PBE, optimized geometry); values from VASP
! DFT formation energy: 30.9 meV per atom
! calculated total energy: -4.401 eV per atom
! energy relative to the lowest polymorph listed for this composition: 131 meV/atom
&SYSTEM
  ibrav = 0, nat = 4, ntyp = 3
/
ATOMIC_SPECIES
Tm 168.93 Tm.upf
Ag 107.87 Ag.upf
Ce 140.12 Ce.upf
ATOMIC_POSITIONS crystal
Tm 0.0744 0.0744 0.7762
Ag 0.6666 0.6666 0.0004
Ce 0.5001 0.5001 0.4997
Tm 0.2590 0.2590 0.2236
CELL_PARAMETERS angstrom
3.4575 0.0005 -0.0003
1.7292 2.9941 -0.0003
1.7280 0.9976 10.5026



[3]
! CeTm2Ag (PBE, optimized geometry); values from VASP
! DFT formation energy: 69.6 meV per atom
! calculated total energy: -4.362 eV per atom
! energy relative to the lowest polymorph listed for this composition: 169 meV/atom
&SYSTEM
  ibrav = 0, nat = 4, ntyp = 3
/
ATOMIC_SPECIES
Ce 140.12 Ce.upf
Ag 107.87 Ag.upf
Tm 168.93 Tm.upf
ATOMIC_POSITIONS crystal
Ce 0.5000 0.5000 0.5000
Ag 0.5000 0.0000 0.0000
Tm 0.0000 0.0000 0.5000
Tm 0.0000 0.5000 0.0000
CELL_PARAMETERS angstrom
4.4304 0.0000 0.0000
0.0000 4.9043 0.0000
0.0000 0.0000 4.9043



[4]
! CeTm2Ag (PBE, optimized geometry); values from VASP
! DFT formation energy: 7.4 meV per atom
! calculated total energy: -4.425 eV per atom
! energy relative to the lowest polymorph listed for this composition: 107 meV/atom
&SYSTEM
  ibrav = 0, nat = 4, ntyp = 3
/
ATOMIC_SPECIES
Ag 107.87 Ag.upf
Tm 168.93 Tm.upf
Ce 140.12 Ce.upf
ATOMIC_POSITIONS crystal
Ag 0.0000 0.0000 0.0000
Tm 0.7426 0.7426 0.7721
Ce 0.5000 0.5000 0.5000
Tm 0.2574 0.2574 0.2279
CELL_PARAMETERS angstrom
3.4433 0.0000 0.0000
1.7216 2.9820 0.0000
1.7216 0.9940 10.3861